# 1
## AlIn2Te (GGA-PBEsol)

Data for AlIn2Te after structural relaxation.

The energy relative to the elements, uncorrected comes out at -53 meV per atom. The total energy is -41.4 eV for the cell shown. For the density of states at the Fermi level, the calculation gives 1.48 states/eV/f.u. The energy above the most stable polymorph in this dataset comes out at 0 meV per atom.

It has space group R3m (No. 160, hexagonal axes), with a = 3.9179 Å, b = 3.9179 Å, c = 23.2935 Å, α = 90.00°, β = 90.00° and γ = 120.00°. The asymmetric unit holds Al at (0.0000, 0.0000, 0.0000), In at (0.0000, 0.0000, 0.5012), In at (0.0000, 0.0000, 0.7459) and Te at (0.0000, 0.0000, 0.2642).

# 2
## MgRe2Br (GGA-PBEsol)

Data for MgRe2Br after structural relaxation.

The energy relative to the elements, uncorrected comes out at 151 meV per atom. The total energy is -59.3 eV for the cell shown. For the density of states at the Fermi level, the calculation gives 2.16 states/eV/f.u.

It has space group Amm2 (No. 38), with a = 3.054 Å, b = 3.082 Å, c = 15.256 Å, α = 90.00°, β = 90.00° and γ = 90.00°. The asymmetric unit holds Mg at (0.000, 0.000, 0.000), Re at (0.000, 0.000, 0.787), Re at (0.500, 0.000, 0.377) and Br at (0.500, 0.000, 0.642).

# 3
## CaMnTlFe2 (GGA-PBEsol)

Data for CaMnTlFe2 after structural relaxation.

For the energy of formation, the calculation gives 1278 meV per atom. The total energy is -26.1 eV for the cell shown. For the density of states at the Fermi level, the calculation gives 9.67 states/eV/f.u.

It has space group P4/mmm (No. 123), with a = 4.912 Å, b = 4.912 Å, c = 5.002 Å, α = 90.00°, β = 90.00° and γ = 90.00°. The asymmetric unit holds Ca at (0.000, 0.000, 0.000), Mn at (0.500, 0.500, 0.000), Tl at (0.500, 0.500, 0.500) and Fe at (0.000, 0.500, 0.500).

# 4
## In2SbIr (GGA-PBEsol)

Data for In2SbIr after structural relaxation.

The energy relative to the elements, uncorrected comes out at 240 meV per atom. The total energy is -38.8 eV for the cell shown. For the density of states at the Fermi level, the calculation gives 1.70 states/eV/f.u.

It has space group Immm (No. 71), with a = 3.793 Å, b = 4.994 Å, c = 8.750 Å, α = 90.00°, β = 90.00° and γ = 90.00°. The asymmetric unit holds In at (0.000, 0.000, 0.228), Sb at (0.000, 0.500, 0.000) and Ir at (0.000, 0.500, 0.500).

# 5
## In2SiOs (GGA-PBEsol)

Data for In2SiOs after structural relaxation.

The energy relative to the elements, uncorrected comes out at 643 meV per atom. The total energy is -42.7 eV for the cell shown. For the density of states at the Fermi level, the calculation gives 2.59 states/eV/f.u.

It has space group Cmmm (No. 65), with a = 3.074 Å, b = 4.974 Å, c = 9.589 Å, α = 90.00°, β = 90.00° and γ = 90.00°. The asymmetric unit holds In at (0.000, 0.000, 0.235), Si at (0.000, 0.500, 0.500) and Os at (0.000, 0.500, 0.000).

# 6
## MnCo2Si (GGA-PBEsol)

Data for MnCo2Si after structural relaxation.

The energy relative to the elements, uncorrected comes out at -292 meV per atom. The total energy is -64.3 eV for the cell shown. For the density of states at the Fermi level, the calculation gives 3.46 states/eV/f.u.

It has space group Cm (No. 8), with a = 8.377 Å, b = 2.704 Å, c = 3.980 Å, α = 90.00°, β = 108.37° and γ = 90.00°. The asymmetric unit holds Mn at (0.000, 0.000, 0.000), Co at (0.254, 0.000, 0.848), Co at (0.488, 0.000, 0.490) and Si at (0.251, 0.500, 0.348).